Lu2Si5Ni3 | GGA-PBEsol | optimized geometry

abc: 9.4659 10.8392 5.5362
angles: 90.00 90.00 90.00
Space group Ibam (No. 72)
One atom of each set of equivalent atoms:
Lu: 0.2350 0.1325 0.0000
Si: 0.0000 0.0000 0.2500
Si: 0.0000 0.2669 0.2500
Si: 0.1543 0.3941 0.0000
Ni: 0.0000 0.5000 0.2500
Ni: 0.1146 0.1348 0.5000

Computed properties:
E = -6.543 eV/atom
DOS at the Fermi energy = 10.28 states/eV per cell
M_tot = 0.0 μB/f.u.
Formation energy from raw total energies = -0.85 eV/atom
V = 14.20 Å³ per atom